# 1
# LaFeI2O, optimized geometry, DFT PBE with a Hubbard U
# DOS(E_F) (states/eV/cell): 1.08
# Magnetic moment (μB/f.u.): 3.1
# Energy relative to the lowest polymorph listed for this composition (meV per atom): 41.6
data_LaFeI2O
_chemical_formula_sum 'La1 Fe1 I2 O1'
_cell_length_a 6.513
_cell_length_b 6.513
_cell_length_c 4.300
_cell_angle_alpha 90.00
_cell_angle_beta 90.00
_cell_angle_gamma 90.00
_space_group_name_H-M_alt 'P 4/m m m'
_space_group_IT_number 123
_space_group_name_Hall '-P 4 2'
loop_
_atom_site_label
_atom_site_type_symbol
_atom_site_fract_x
_atom_site_fract_y
_atom_site_fract_z
_atom_site_occupancy
La1 La 0.000 0.000 0.000 1
Fe1 Fe 0.500 0.500 0.500 1
I1 I 0.000 0.500 0.000 1
O1 O 0.000 0.000 0.500 1

---

# 2
# LaFeI2O, optimized geometry, DFT PBE with a Hubbard U
# DOS(E_F) (states/eV/cell): 2.81
# Magnetic moment (μB/f.u.): 4.2
# Energy relative to the lowest polymorph listed for this composition (meV per atom): 0.0
data_LaFeI2O
_chemical_formula_sum 'La1 Fe1 I2 O1'
_cell_length_a 5.858
_cell_length_b 5.858
_cell_length_c 3.803
_cell_angle_alpha 90.00
_cell_angle_beta 90.00
_cell_angle_gamma 90.00
_space_group_name_H-M_alt 'P 4/m m m'
_space_group_IT_number 123
_space_group_name_Hall '-P 4 2'
loop_
_atom_site_label
_atom_site_type_symbol
_atom_site_fract_x
_atom_site_fract_y
_atom_site_fract_z
_atom_site_occupancy
La1 La 0.000 0.000 0.000 1
Fe1 Fe 0.500 0.500 0.500 1
I1 I 0.000 0.500 0.500 1
O1 O 0.500 0.500 0.000 1

---

# 3
# LaFeIO2, optimized geometry, DFT PBE with a Hubbard U
# DOS(E_F) (states/eV/cell): 5.34
# Magnetic moment (μB/f.u.): 3.5
# Energy relative to the lowest polymorph listed for this composition (meV per atom): 0.0
data_LaFeIO2
_chemical_formula_sum 'La1 Fe1 I1 O2'
_cell_length_a 4.357
_cell_length_b 4.357
_cell_length_c 7.050
_cell_angle_alpha 90.00
_cell_angle_beta 90.00
_cell_angle_gamma 90.00
_space_group_name_H-M_alt 'P 4/m m m'
_space_group_IT_number 123
_space_group_name_Hall '-P 4 2'
loop_
_atom_site_label
_atom_site_type_symbol
_atom_site_fract_x
_atom_site_fract_y
_atom_site_fract_z
_atom_site_occupancy
La1 La 0.000 0.000 0.000 1
Fe1 Fe 0.500 0.500 0.500 1
I1 I 0.000 0.000 0.500 1
O1 O 0.000 0.500 0.000 1

---

# 4
# LaFeIO2, optimized geometry, DFT PBE with a Hubbard U
# DOS(E_F) (states/eV/cell): 1.80
# Magnetic moment (μB/f.u.): 4.1
# Energy relative to the lowest polymorph listed for this composition (meV per atom): 333.7
data_LaFeIO2
_chemical_formula_sum 'La1 Fe1 I1 O2'
_cell_length_a 4.183
_cell_length_b 4.183
_cell_length_c 5.870
_cell_angle_alpha 90.00
_cell_angle_beta 90.00
_cell_angle_gamma 90.00
_space_group_name_H-M_alt 'P 4/m m m'
_space_group_IT_number 123
_space_group_name_Hall '-P 4 2'
loop_
_atom_site_label
_atom_site_type_symbol
_atom_site_fract_x
_atom_site_fract_y
_atom_site_fract_z
_atom_site_occupancy
La1 La 0.000 0.000 0.000 1
Fe1 Fe 0.000 0.000 0.500 1
I1 I 0.500 0.500 0.000 1
O1 O 0.000 0.500 0.500 1

---

# 5
# LaFeIO2, optimized geometry, DFT PBE with a Hubbard U
# DOS(E_F) (states/eV/cell): 2.53
# Magnetic moment (μB/f.u.): 4.4
# Energy relative to the lowest polymorph listed for this composition (meV per atom): 138.1
data_LaFeIO2
_chemical_formula_sum 'La1 Fe1 I1 O2'
_cell_length_a 4.290
_cell_length_b 4.290
_cell_length_c 5.116
_cell_angle_alpha 90.00
_cell_angle_beta 90.00
_cell_angle_gamma 90.00
_space_group_name_H-M_alt 'P 4/m m m'
_space_group_IT_number 123
_space_group_name_Hall '-P 4 2'
loop_
_atom_site_label
_atom_site_type_symbol
_atom_site_fract_x
_atom_site_fract_y
_atom_site_fract_z
_atom_site_occupancy
La1 La 0.000 0.000 0.000 1
Fe1 Fe 0.500 0.500 0.500 1
I1 I 0.500 0.500 0.000 1
O1 O 0.000 0.500 0.500 1